Record 1
Eu2VO4 after structural relaxation. Source: Alexandria, functional PBE+U.

```
data_Eu2VO4
_chemical_formula_sum 'Eu2 V1 O4'
_symmetry_space_group_name_H-M 'P 1'
_symmetry_Int_Tables_number 1
_symmetry_space_group_name_Hall 'P 1'
_cell_length_a 6.835
_cell_length_b 6.835
_cell_length_c 6.835
_cell_angle_alpha 147.12
_cell_angle_beta 147.12
_cell_angle_gamma 47.18
loop_
_atom_site_label
_atom_site_type_symbol
_atom_site_fract_x
_atom_site_fract_y
_atom_site_fract_z
Eu1 Eu 0.145 0.145 0.000
Eu2 Eu 0.855 0.855 0.000
V1 V 0.500 0.500 0.000
O1 O 0.000 0.500 0.500
O2 O 0.332 0.332 0.000
O3 O 0.500 0.000 0.500
O4 O 0.668 0.668 0.000
```

E_tot ... -9.4844 eV/atom
Space group ... I4/mmm
D(E_F) ... 2.8297 states/eV per atom

Record 2
Eu2YVO6 after structural relaxation. Source: Alexandria, functional PBE+U.

```
data_Eu2YVO6
_chemical_formula_sum 'Eu2 Y1 V1 O6'
_symmetry_space_group_name_H-M 'P 1'
_symmetry_Int_Tables_number 1
_symmetry_space_group_name_Hall 'P 1'
_cell_length_a 5.791
_cell_length_b 5.791
_cell_length_c 5.791
_cell_angle_alpha 60.00
_cell_angle_beta 60.00
_cell_angle_gamma 60.00
loop_
_atom_site_label
_atom_site_type_symbol
_atom_site_fract_x
_atom_site_fract_y
_atom_site_fract_z
Eu1 Eu 0.250 0.250 0.250
Eu2 Eu 0.750 0.750 0.750
Y1 Y 0.000 0.000 0.000
V1 V 0.500 0.500 0.500
O1 O 0.268 0.268 0.732
O2 O 0.268 0.732 0.268
O3 O 0.268 0.732 0.732
O4 O 0.732 0.268 0.268
O5 O 0.732 0.268 0.732
O6 O 0.732 0.732 0.268
```

E_tot ... -9.1264 eV/atom
Space group ... Fm-3m
D(E_F) ... 2.5240 states/eV per atom

Record 3
EuWO3 after structural relaxation. Source: Alexandria, functional PBE+U.

```
data_EuWO3
_chemical_formula_sum 'Eu1 W1 O3'
_symmetry_space_group_name_H-M 'P 1'
_symmetry_Int_Tables_number 1
_symmetry_space_group_name_Hall 'P 1'
_cell_length_a 4.100
_cell_length_b 4.100
_cell_length_c 4.100
_cell_angle_alpha 90.00
_cell_angle_beta 90.00
_cell_angle_gamma 90.00
loop_
_atom_site_label
_atom_site_type_symbol
_atom_site_fract_x
_atom_site_fract_y
_atom_site_fract_z
Eu1 Eu 0.000 0.000 0.000
W1 W 0.500 0.500 0.500
O1 O 0.000 0.500 0.500
O2 O 0.500 0.000 0.500
O3 O 0.500 0.500 0.000
```

E_tot ... -8.7225 eV/atom
Space group ... Pm-3m
D(E_F) ... 2.1772 states/eV per atom

Record 4
EuWO2 after structural relaxation. Source: Alexandria, functional PBE+U.

```
data_EuWO2
_chemical_formula_sum 'Eu4 W4 O8'
_symmetry_space_group_name_H-M 'P 1'
_symmetry_Int_Tables_number 1
_symmetry_space_group_name_Hall 'P 1'
_cell_length_a 7.605
_cell_length_b 7.605
_cell_length_c 7.605
_cell_angle_alpha 130.22
_cell_angle_beta 130.22
_cell_angle_gamma 73.05
loop_
_atom_site_label
_atom_site_type_symbol
_atom_site_fract_x
_atom_site_fract_y
_atom_site_fract_z
Eu1 Eu 0.000 0.000 0.000
Eu2 Eu 0.000 0.000 0.500
Eu3 Eu 0.000 0.500 0.000
Eu4 Eu 0.500 0.000 0.500
W1 W 0.000 0.500 0.500
W2 W 0.500 0.000 0.000
W3 W 0.500 0.500 0.000
W4 W 0.500 0.500 0.500
O1 O 0.201 0.234 0.534
O2 O 0.201 0.667 0.966
O3 O 0.234 0.201 0.034
O4 O 0.333 0.799 0.534
O5 O 0.667 0.201 0.466
O6 O 0.766 0.799 0.966
O7 O 0.799 0.333 0.034
O8 O 0.799 0.766 0.466
```

E_tot ... -8.5658 eV/atom
Space group ... I4_1/amd
D(E_F) ... 0.6025 states/eV per atom

Record 5
Eu3W5O12 after structural relaxation. Source: Alexandria, functional PBE+U.

```
data_Eu3W5O12
_chemical_formula_sum 'Eu12 W20 O48'
_symmetry_space_group_name_H-M 'P 1'
_symmetry_Int_Tables_number 1
_symmetry_space_group_name_Hall 'P 1'
_cell_length_a 11.633
_cell_length_b 11.633
_cell_length_c 11.633
_cell_angle_alpha 109.47
_cell_angle_beta 109.47
_cell_angle_gamma 109.47
loop_
_atom_site_label
_atom_site_type_symbol
_atom_site_fract_x
_atom_site_fract_y
_atom_site_fract_z
Eu1 Eu 0.125 0.250 0.375
Eu2 Eu 0.125 0.375 0.750
Eu3 Eu 0.250 0.375 0.125
Eu4 Eu 0.250 0.875 0.625
Eu5 Eu 0.375 0.125 0.250
Eu6 Eu 0.375 0.750 0.125
Eu7 Eu 0.625 0.250 0.875
Eu8 Eu 0.625 0.875 0.750
Eu9 Eu 0.750 0.125 0.375
Eu10 Eu 0.750 0.625 0.875
Eu11 Eu 0.875 0.625 0.250
Eu12 Eu 0.875 0.750 0.625
W1 W 0.000 0.000 0.000
W2 W 0.000 0.000 0.500
W3 W 0.000 0.500 0.000
W4 W 0.000 0.500 0.500
W5 W 0.125 0.750 0.875
W6 W 0.125 0.875 0.250
W7 W 0.250 0.125 0.875
W8 W 0.250 0.625 0.375
W9 W 0.375 0.250 0.625
W10 W 0.375 0.625 0.750
W11 W 0.500 0.000 0.000
W12 W 0.500 0.000 0.500
W13 W 0.500 0.500 0.000
W14 W 0.500 0.500 0.500
W15 W 0.625 0.375 0.250
W16 W 0.625 0.750 0.375
W17 W 0.750 0.375 0.625
W18 W 0.750 0.875 0.125
W19 W 0.875 0.125 0.750
W20 W 0.875 0.250 0.125
O1 O 0.025 0.204 0.126
O2 O 0.025 0.322 0.900
O3 O 0.078 0.704 0.678
O4 O 0.078 0.874 0.400
O5 O 0.100 0.626 0.422
O6 O 0.100 0.975 0.678
O7 O 0.126 0.025 0.204
O8 O 0.126 0.600 0.922
O9 O 0.178 0.204 0.578
O10 O 0.178 0.475 0.600
O11 O 0.204 0.126 0.025
O12 O 0.204 0.578 0.178
O13 O 0.296 0.322 0.922
O14 O 0.296 0.475 0.374
O15 O 0.322 0.900 0.025
O16 O 0.322 0.922 0.296
O17 O 0.374 0.296 0.475
O18 O 0.374 0.578 0.900
O19 O 0.400 0.078 0.874
O20 O 0.400 0.822 0.525
O21 O 0.422 0.100 0.626
O22 O 0.422 0.822 0.796
O23 O 0.475 0.374 0.296
O24 O 0.475 0.600 0.178
O25 O 0.525 0.400 0.822
O26 O 0.525 0.626 0.704
O27 O 0.578 0.178 0.204
O28 O 0.578 0.900 0.374
O29 O 0.600 0.178 0.475
O30 O 0.600 0.922 0.126
O31 O 0.626 0.422 0.100
O32 O 0.626 0.704 0.525
O33 O 0.678 0.078 0.704
O34 O 0.678 0.100 0.975
O35 O 0.704 0.525 0.626
O36 O 0.704 0.678 0.078
O37 O 0.796 0.422 0.822
O38 O 0.796 0.874 0.975
O39 O 0.822 0.525 0.400
O40 O 0.822 0.796 0.422
O41 O 0.874 0.400 0.078
O42 O 0.874 0.975 0.796
O43 O 0.900 0.025 0.322
O44 O 0.900 0.374 0.578
O45 O 0.922 0.126 0.600
O46 O 0.922 0.296 0.322
O47 O 0.975 0.678 0.100
O48 O 0.975 0.796 0.874
```

E_tot ... -8.3662 eV/atom
Space group ... Ia-3d
D(E_F) ... 1.5687 states/eV per atom

Record 6
Eu2ZnWO6 after structural relaxation. Source: Alexandria, functional PBE+U.

```
data_Eu2ZnWO6
_chemical_formula_sum 'Eu2 Zn1 W1 O6'
_symmetry_space_group_name_H-M 'P 1'
_symmetry_Int_Tables_number 1
_symmetry_space_group_name_Hall 'P 1'
_cell_length_a 5.686
_cell_length_b 5.686
_cell_length_c 5.686
_cell_angle_alpha 60.00
_cell_angle_beta 60.00
_cell_angle_gamma 60.00
loop_
_atom_site_label
_atom_site_type_symbol
_atom_site_fract_x
_atom_site_fract_y
_atom_site_fract_z
Eu1 Eu 0.250 0.250 0.250
Eu2 Eu 0.750 0.750 0.750
Zn1 Zn 0.000 0.000 0.000
W1 W 0.500 0.500 0.500
O1 O 0.258 0.258 0.742
O2 O 0.258 0.742 0.258
O3 O 0.258 0.742 0.742
O4 O 0.742 0.258 0.258
O5 O 0.742 0.258 0.742
O6 O 0.742 0.742 0.258
```

E_tot ... -8.2048 eV/atom
Space group ... Fm-3m
D(E_F) ... 0.0000 states/eV per atom

Record 7
Eu2ZrWO6 after structural relaxation. Source: Alexandria, functional PBE+U.

```
data_Eu2ZrWO6
_chemical_formula_sum 'Eu2 Zr1 W1 O6'
_symmetry_space_group_name_H-M 'P 1'
_symmetry_Int_Tables_number 1
_symmetry_space_group_name_Hall 'P 1'
_cell_length_a 5.855
_cell_length_b 5.855
_cell_length_c 5.855
_cell_angle_alpha 60.00
_cell_angle_beta 60.00
_cell_angle_gamma 60.00
loop_
_atom_site_label
_atom_site_type_symbol
_atom_site_fract_x
_atom_site_fract_y
_atom_site_fract_z
Eu1 Eu 0.250 0.250 0.250
Eu2 Eu 0.750 0.750 0.750
Zr1 Zr 0.000 0.000 0.000
W1 W 0.500 0.500 0.500
O1 O 0.252 0.252 0.748
O2 O 0.252 0.748 0.252
O3 O 0.252 0.748 0.748
O4 O 0.748 0.252 0.252
O5 O 0.748 0.252 0.748
O6 O 0.748 0.748 0.252
```

E_tot ... -9.3118 eV/atom
Space group ... Fm-3m
D(E_F) ... 0.5657 states/eV per atom